VASP calculation (PBE-GGA) on crystalline Ac2Tb5Pm3 at its relaxed geometry.

Unit cell a=11.6241 b=10.0162 c=12.3169 alpha=132.88 beta=135.06 gamma=54.52
Sites, in units of the cell vectors:
Pm1 0.7217 0.4352 0.2519
Tb1 0.4649 0.7149 0.4297
Tb2 0.9642 0.7142 0.4284
Ac1 0.1481 0.1433 0.2914
Ac2 0.6432 0.1480 0.2914
Tb3 0.2501 0.5001 0.0002
Pm2 0.2514 0.0014 0.0029
Tb4 0.0358 0.2858 0.5716
Tb5 0.4660 0.1822 0.7433
Tb6 0.2226 0.4389 0.2567
Tb7 0.7499 0.4999 0.9998
Pm3 0.0302 0.8167 0.2519
Pm4 0.9698 0.1833 0.7481
Pm5 0.7486 0.9986 0.9971
Ac3 0.3568 0.8520 0.7086
Tb8 0.5351 0.2851 0.5703
Pm6 0.2783 0.5648 0.7481
Tb9 0.7774 0.5611 0.7433
Tb10 0.5340 0.8178 0.2567
Ac4 0.8519 0.8567 0.7086

Computed properties:
**Density of states at the Fermi level**: 31.4 states/eV per cell
**Energy of formation from the pure elements**: 0.206 eV/atom
**Mass density**: 7.67 g cm⁻³
**SG**: No. 15
**Crystal system**: monoclinic
**E_tot**: -87.12 eV/cell